Below is a relaxed structure of Ga3Sn5Hg12, with properties calculated at the PBE-GGA level.

Total moment   0.00 μB/cell
Formation energy from the elements   0.17 eV/atom
Energy   -1.470 eV/atom
Space group   Ia-3d
D(E_F)   0.39 states/eV/atom
V   2360.50 Å³/cell

Structure (POSCAR):
```
Ga3Sn5Hg12
1.0
-8.388 8.388 8.388
8.388 -8.388 8.388
8.388 8.388 -8.388
Ga Sn Hg
12 20 48
direct
0.125 0.250 0.375
0.125 0.375 0.750
0.250 0.375 0.125
0.250 0.875 0.625
0.375 0.125 0.250
0.375 0.750 0.125
0.625 0.250 0.875
0.625 0.875 0.750
0.750 0.125 0.375
0.750 0.625 0.875
0.875 0.625 0.250
0.875 0.750 0.625
0.000 0.000 0.000
0.000 0.000 0.500
0.000 0.500 0.000
0.000 0.500 0.500
0.125 0.750 0.875
0.125 0.875 0.250
0.250 0.125 0.875
0.250 0.625 0.375
0.375 0.250 0.625
0.375 0.625 0.750
0.500 0.000 0.000
0.500 0.000 0.500
0.500 0.500 0.000
0.500 0.500 0.500
0.625 0.375 0.250
0.625 0.750 0.375
0.750 0.375 0.625
0.750 0.875 0.125
0.875 0.125 0.750
0.875 0.250 0.125
0.062 0.629 0.389
0.062 0.933 0.673
0.067 0.240 0.129
0.067 0.327 0.938
0.111 0.740 0.673
0.111 0.871 0.438
0.129 0.067 0.240
0.129 0.562 0.889
0.173 0.240 0.611
0.173 0.433 0.562
0.240 0.129 0.067
0.240 0.611 0.173
0.260 0.327 0.889
0.260 0.433 0.371
0.327 0.889 0.260
0.327 0.938 0.067
0.371 0.260 0.433
0.371 0.611 0.938
0.389 0.062 0.629
0.389 0.827 0.760
0.433 0.371 0.260
0.433 0.562 0.173
0.438 0.111 0.871
0.438 0.827 0.567
0.562 0.173 0.433
0.562 0.889 0.129
0.567 0.438 0.827
0.567 0.629 0.740
0.611 0.173 0.240
0.611 0.938 0.371
0.629 0.389 0.062
0.629 0.740 0.567
0.673 0.062 0.933
0.673 0.111 0.740
0.740 0.567 0.629
0.740 0.673 0.111
0.760 0.389 0.827
0.760 0.871 0.933
0.827 0.567 0.438
0.827 0.760 0.389
0.871 0.438 0.111
0.871 0.933 0.760
0.889 0.129 0.562
0.889 0.260 0.327
0.933 0.673 0.062
0.933 0.760 0.871
0.938 0.067 0.327
0.938 0.371 0.611
```